(1)
A relaxed K2PdIBr3 crystal, computed with GGA-PBE.

Results
- space-group type = Amm2 (38)

a b c (Å): 4.4437 7.6507 7.6507
angles (deg): 93.37 90.00 90.00
Last column: nearest neighbours and their distance in Å.
Positions (direct):
1 Br 0.0000 0.7754 0.2216  1 Pd 2.48
2 Br 0.0000 0.7593 0.7593  1 Pd 2.51
3 Br 0.0000 0.2216 0.7754  1 Pd 2.48
4 I 0.0000 0.2472 0.2472  1 Pd 2.61
5 K 0.5000 0.9834 0.5145  6 Br 3.43-3.47, 2 I 3.70
6 K 0.5000 0.5145 0.9834  6 Br 3.43-3.47, 2 I 3.70
7 Pd 0.0000 0.9986 0.9986  3 Br 2.48-2.51, 1 I 2.61



(2)
A relaxed HoAs crystal, computed with GGA-PBE.

Results
- space-group type = Pm-3m (221)
- magnetization (μB/cell) = 0.001

a b c (Å): 3.5554 3.5554 3.5554
angles (deg): 90.00 90.00 90.00
Last column: nearest neighbours and their distance in Å.
Positions (direct):
1 As 0.0000 0.0000 0.0000  8 Ho 3.08
2 Ho 0.5000 0.5000 0.5000  8 As 3.08



(3)
A relaxed TlFeNiW crystal, computed with GGA-PBE.

Results
- space-group type = F-43m (216)
- magnetization (μB/cell) = 1.447

a b c (Å): 4.3721 4.3721 4.3721
angles (deg): 60.00 60.00 60.00
Last column: nearest neighbours and their distance in Å.
Positions (direct):
1 Fe 0.7500 0.7500 0.7500  4 W 2.68, 4 Tl 2.68
2 Ni 0.2500 0.2500 0.2500  4 Tl 2.68, 4 W 2.68
3 Tl 0.0000 0.0000 0.0000  4 Ni 2.68, 4 Fe 2.68
4 W 0.5000 0.5000 0.5000  4 Fe 2.68, 4 Ni 2.68



(4)
A relaxed TbTePbAuS2 crystal, computed with GGA-PBE.

Results
- space-group type = Cmcm (63)
- magnetization (μB/cell) = 0.003

a b c (Å): 7.3443 7.3443 11.1413
angles (deg): 90.00 90.00 147.84
Last column: nearest neighbours and their distance in Å.
Positions (direct):
1 Au 0.0280 0.9720 0.2500  2 S 2.52, 2 Te 2.82
2 Au 0.9720 0.0280 0.7500  2 S 2.52, 2 Te 2.82
3 Pb 0.7052 0.2948 0.2500  4 S 3.12, 2 Au 3.22, 2 Te 3.31
4 Pb 0.2948 0.7052 0.7500  4 S 3.12, 2 Au 3.22, 2 Te 3.31
5 S 0.1267 0.8733 0.0617  1 Au 2.52, 2 Tb 2.79
6 S 0.1267 0.8733 0.4383  1 Au 2.52, 2 Tb 2.79
7 S 0.8733 0.1267 0.5617  1 Au 2.52, 2 Tb 2.79
8 S 0.8733 0.1267 0.9383  1 Au 2.52, 2 Tb 2.79
9 Tb 0.5000 0.5000 0.0000  4 S 2.79
10 Tb 0.5000 0.5000 0.5000  4 S 2.79
11 Te 0.3901 0.6099 0.2500  2 Au 2.82
12 Te 0.6099 0.3901 0.7500  2 Au 2.82



(5)
A relaxed LiMgGa2Cu4 crystal, computed with GGA-PBE.

Results
- space-group type = P4/mmm (123)

a b c (Å): 4.2215 4.2215 5.9978
angles (deg): 90.00 90.00 90.00
Last column: nearest neighbours and their distance in Å.
Positions (direct):
1 Cu 0.5000 0.0000 0.2632  2 Li 2.54, 4 Ga 2.54-2.64, 2 Mg 2.64, 1 Cu 2.84
2 Cu 0.0000 0.5000 0.2632  2 Li 2.54, 4 Ga 2.54-2.64, 2 Mg 2.64, 1 Cu 2.84
3 Cu 0.5000 0.0000 0.7368  2 Li 2.54, 4 Ga 2.54-2.64, 2 Mg 2.64, 1 Cu 2.84
4 Cu 0.0000 0.5000 0.7368  2 Li 2.54, 4 Ga 2.54-2.64, 2 Mg 2.64, 1 Cu 2.84
5 Ga 0.0000 0.0000 0.0000  8 Cu 2.64
6 Ga 0.5000 0.5000 0.5000  8 Cu 2.54
7 Li 0.0000 0.0000 0.5000  8 Cu 2.54
8 Mg 0.5000 0.5000 0.0000  8 Cu 2.64



(6)
A relaxed Sr2ZrP2 crystal, computed with GGA-PBE.

Results
- space-group type = P-3m1 (164)
- magnetization (μB/cell) = 0.029

a b c (Å): 3.9768 3.9768 10.3771
angles (deg): 90.00 90.00 120.00
Last column: nearest neighbours and their distance in Å.
Positions (direct):
1 P 0.6667 0.3333 0.1405  3 Zr 2.72, 3 Sr 2.93
2 P 0.3333 0.6667 0.8595  3 Zr 2.72, 3 Sr 2.93
3 Sr 0.3333 0.6667 0.3157  3 P 2.93
4 Sr 0.6667 0.3333 0.6843  3 P 2.93
5 Zr 0.0000 0.0000 0.0000  6 P 2.72



(7)
A relaxed LaHfAsO crystal, computed with GGA-PBE.

Results
- space-group type = Pmc2_1 (26)
- magnetization (μB/cell) = 0.003

a b c (Å): 4.2329 5.1412 7.3069
angles (deg): 90.00 90.00 90.00
Last column: nearest neighbours and their distance in Å.
Positions (direct):
1 As 0.0000 0.3441 0.2912  3 Hf 2.73-2.86, 4 La 3.02-3.04
2 As 0.0000 0.6559 0.7912  3 Hf 2.73-2.86, 4 La 3.02-3.04
3 Hf 0.0000 0.8581 0.4414  2 O 2.12
4 Hf 0.0000 0.1419 0.9414  2 O 2.12
5 La 0.5000 0.6550 0.0870  3 O 2.72-2.81, 4 As 3.02-3.04
6 La 0.5000 0.3450 0.5870  3 O 2.72-2.81, 4 As 3.02-3.04
7 O 0.5000 0.8462 0.4345  2 Hf 2.12
8 O 0.5000 0.1538 0.9345  2 Hf 2.12



(8)
A relaxed GeBi2Au crystal, computed with GGA-PBE.

Results
- space-group type = F-43m (216)

a b c (Å): 5.2537 5.2537 5.2537
angles (deg): 60.00 60.00 60.00
Last column: nearest neighbours and their distance in Å.
Positions (direct):
1 Au 0.2500 0.2500 0.2500  4 Ge 3.22, 4 Bi 3.22
2 Bi 0.0000 0.0000 0.0000  4 Bi 3.22, 4 Au 3.22
3 Bi 0.7500 0.7500 0.7500  4 Ge 3.22, 4 Bi 3.22
4 Ge 0.5000 0.5000 0.5000  4 Bi 3.22, 4 Au 3.22



(9)
A relaxed Tm2CoB4Ir4 crystal, computed with GGA-PBE.

Results
- space-group type = Fmmm (69)
- magnetization (μB/cell) = 0.006

a b c (Å): 7.3281 6.3184 5.3587
angles (deg): 77.26 57.24 45.50
Last column: nearest neighbours and their distance in Å.
Positions (direct):
1 B 0.2763 0.9884 0.0116  1 Co 2.01, 2 Ir 2.15
2 B 0.0116 0.7237 0.2763  1 Co 2.01, 2 Ir 2.15
3 B 0.9884 0.2763 0.7237  1 Co 2.01, 2 Ir 2.15
4 B 0.7237 0.0116 0.9884  1 Co 2.01, 2 Ir 2.15
5 Co 0.0000 0.0000 0.0000  4 B 2.01
6 Ir 0.5000 0.5000 0.0000  4 B 2.26
7 Ir 0.2500 0.2500 0.2500  4 B 2.15
8 Ir 0.0000 0.0000 0.5000  4 B 2.26
9 Ir 0.7500 0.7500 0.7500  4 B 2.15
10 Tm 0.6372 0.6372 0.3628  8 B 2.94-3.28, 8 Ir 2.97-3.10, 1 Tm 3.13, 2 Co 3.15
11 Tm 0.3628 0.3628 0.6372  8 B 2.94-3.28, 8 Ir 2.97-3.10, 1 Tm 3.13, 2 Co 3.15



(10)
A relaxed Sr2Os crystal, computed with GGA-PBE.

Results
- space-group type = Fm-3m (225)
- magnetization (μB/cell) = 0.005

a b c (Å): 5.0994 5.0994 5.0994
angles (deg): 60.00 60.00 60.00
Last column: nearest neighbours and their distance in Å.
Positions (direct):
1 Os 0.0000 0.0000 0.0000  8 Sr 3.12
2 Sr 0.2500 0.2500 0.2500  4 Os 3.12
3 Sr 0.7500 0.7500 0.7500  4 Os 3.12



(11)
A relaxed NaGaSiPd crystal, computed with GGA-PBE.

Results
- space-group type = F-43m (216)

a b c (Å): 4.5164 4.5164 4.5164
angles (deg): 60.00 60.00 60.00
Last column: nearest neighbours and their distance in Å.
Positions (direct):
1 Ga 0.5000 0.5000 0.5000  4 Pd 2.77, 4 Na 2.77
2 Na 0.7500 0.7500 0.7500  4 Si 2.77, 4 Ga 2.77
3 Pd 0.2500 0.2500 0.2500  4 Ga 2.77, 4 Si 2.77
4 Si 0.0000 0.0000 0.0000  4 Na 2.77, 4 Pd 2.77



(12)
A relaxed Cs2NaHgCl6 crystal, computed with GGA-PBE.

Results
- space-group type = I4/m (87)

a b c (Å): 7.5579 7.5579 7.5579
angles (deg): 120.13 120.13 89.77
Last column: nearest neighbours and their distance in Å.
Positions (direct):
1 Cl 0.2453 0.2453 0.0000  1 Hg 2.63, 1 Na 2.73
2 Cl 0.7547 0.7547 0.0000  1 Hg 2.63, 1 Na 2.73
3 Cl 0.2502 0.7627 0.0129  1 Hg 2.60, 1 Na 2.73
4 Cl 0.2373 0.2502 0.4875  1 Hg 2.60, 1 Na 2.73
5 Cl 0.7627 0.7498 0.5125  1 Hg 2.60, 1 Na 2.73
6 Cl 0.7498 0.2373 0.9871  1 Hg 2.60, 1 Na 2.73
7 Cs 0.7500 0.2500 0.5000  12 Cl 3.73-3.83
8 Cs 0.2500 0.7500 0.5000  12 Cl 3.73-3.83
9 Hg 0.0000 0.0000 0.0000  6 Cl 2.60-2.63
10 Na 0.5000 0.5000 0.0000  6 Cl 2.73



no.,E_tot (eV per cell)
1,-21.7
2,-11.3
3,-27.0
4,-56.5
5,-25.8
6,-27.8
7,-64.7
8,-15.0
9,-86.0
10,-12.3
11,-15.3
12,-27.3